NaCu2AgI GGA-PBE optimized geometry; raw formation energy = 936 meV per atom
1.0
4.866 0.000 0.000
0.000 4.866 0.000
0.000 0.000 5.790
Na Cu Ag I
1 2 1 1
Cartesian
0.000 0.000 0.000 Na
0.000 2.433 0.000 Cu
2.433 0.000 0.000 Cu
2.433 2.433 2.895 Ag
0.000 0.000 2.895 I

AsIrClO GGA-PBE optimized geometry; relative energy among the computed polymorphs = 0 meV/atom; raw formation energy = -451 meV per atom
1.0
3.681 0.000 0.000
0.000 2.852 0.000
-1.813 0.000 7.424
As Ir Cl O
1 1 1 1
Cartesian
0.000 0.000 0.000 As
0.027 0.000 5.952 Ir
1.867 0.000 4.317 Cl
0.000 1.426 1.166 O

BaGaHg GGA-PBE optimized geometry; relative energy among the computed polymorphs = 0 meV/atom; energy of formation from the pure elements = -449 meV per atom
1.0
-2.465 4.279 4.499
2.465 -4.279 4.499
2.465 4.279 -4.499
Ba Ga Hg
2 2 2
Cartesian
0.000 0.000 2.120 Ba
0.000 0.000 6.877 Ba
0.000 3.012 0.000 Ga
0.000 5.547 0.000 Ga
2.465 1.569 0.000 Hg
0.000 2.710 4.499 Hg

CdSiSnHg GGA-PBE optimized geometry; relative energy among the computed polymorphs = 25 meV/atom; raw formation energy = 221 meV per atom
1.0
3.177 0.000 0.000
-1.581 3.755 0.000
-0.165 -0.576 8.104
Cd Si Sn Hg
1 1 1 1
Cartesian
0.000 0.000 0.000 Cd
-0.130 1.514 6.290 Si
1.441 -0.110 4.606 Sn
1.566 1.740 2.179 Hg